{"formula": "YPaMnO6", "functional": "PBE with a Hubbard U", "state": "optimized geometry", "lattice_angstrom": [[-1.868, 0.091, -4.412], [-2.433, -4.669, 0.934], [-2.491, 4.590, 1.149]], "species": ["Y", "Pa", "Mn", "O", "O", "O", "O", "O", "O"], "fractional_positions": [[0.500, 0.667, 0.333], [0.000, 0.333, 0.667], [0.500, 0.000, 0.000], [0.734, 0.688, 0.708], [0.734, 0.292, 0.980], [0.734, 0.020, 0.312], [0.266, 0.292, 0.312], [0.266, 0.688, 0.980], [0.266, 0.020, 0.708]], "sg": "P312, No. 149", "energy_ha_per_atom": -0.3182}